Compound: UI2Cl8
Source: Alexandria
Functional: PBE-GGA
Structure: relaxed

a b c (Å): 16.205 7.680 7.689
angles (deg): 90.00 105.20 90.00
Space group C2/m (No. 12)
Inequivalent atoms, fractional coordinates:
U: 0.000 0.000 0.000
I: 0.246 0.500 0.533
Cl: 0.070 0.000 0.342
Cl: 0.095 0.500 0.429
Cl: 0.101 0.227 0.956

Values from the calculation:
The formation energy from raw total energies is -0.959 eV per atom. The value obtained for the total moment is 1.1 μB per cell.